# ErThCoPd

An optimized crystal structure of ErThCoPd (PBE, Alexandria via LeMat-Bulk).

a = 6.9850 Å, b = 6.9850 Å, c = 6.9850 Å
α = 90.00°, β = 90.00°, γ = 90.00°
With the nearest neighbours (Å) after each atom.
Space group F-43m (No. 216)
One atom of each set of equivalent atoms:
Er 0.0000 0.0000 0.0000 (multiplicity 4)  4 Co 3.02, 4 Pd 3.02
Th 0.0000 0.0000 0.5000 (multiplicity 4)  4 Co 3.02, 4 Pd 3.02
Co 0.2500 0.2500 0.7500 (multiplicity 4)  4 Th 3.02, 4 Er 3.02
Pd 0.2500 0.2500 0.2500 (multiplicity 4)  4 Th 3.02, 4 Er 3.02


# ZrOsPb

An optimized crystal structure of ZrOsPb (PBE, Alexandria via LeMat-Bulk).

a = 6.5016 Å, b = 6.5016 Å, c = 6.5016 Å
α = 90.00°, β = 90.00°, γ = 90.00°
With the nearest neighbours (Å) after each atom.
Space group F-43m (No. 216)
One atom of each set of equivalent atoms:
Zr 0.0000 0.0000 0.0000 (multiplicity 4)  4 Os 2.82
Os 0.2500 0.2500 0.2500 (multiplicity 4)  4 Zr 2.82, 4 Pb 2.82
Pb 0.0000 0.0000 0.5000 (multiplicity 4)  4 Os 2.82


Number 1: energy of formation -169 kJ/mol of formula units, polymorph energy (0 for the lowest one) 0.163 eV/atom. Number 2: energy of formation 44 kJ/mol of formula units, polymorph energy (0 for the lowest one) 0.062 eV/atom.